The following is a DFT calculation (GGA-PBE) of an optimized crystal structure of Ba12As3N5.

Unit cell a=17.6242 b=17.6242 c=17.6242 alpha=90.00 beta=90.00 gamma=90.00
Last column: nearest neighbours and their distance in Å.
Space group Ia-3d (No. 230)
Unique sites:
Ba1 0.0294 0.0539 0.6509 [96 per cell]  2 N 2.61-2.87
As1 0.0000 0.2500 0.1250 [24 per cell]  8 Ba 3.37-3.52
N1 0.0000 0.0000 0.0000 [16 per cell]  6 Ba 2.87
N2 0.0000 0.2500 0.3750 [24 per cell]  4 Ba 2.61

## Properties
Uncorrected formation energy (kcal/mol of atoms): -14.40
DOS at the Fermi energy (states/eV/atom): 0.20
Total magnetization (μB per cell): 0.00


The following is a DFT calculation (GGA-PBE) of an optimized crystal structure of BaCoOs2.

Unit cell a=4.7301 b=4.7301 c=3.3644 alpha=90.00 beta=90.00 gamma=90.00
Last column: nearest neighbours and their distance in Å.
Space group P4/mmm (No. 123)
Unique sites:
Ba1 0.0000 0.0000 0.0000 [1 per cell]  8 Os 2.90
Co1 0.5000 0.5000 0.0000 [1 per cell]  8 Os 2.90
Os1 0.0000 0.5000 0.5000 [2 per cell]  4 Ba 2.90, 4 Co 2.90

## Properties
DOS at the Fermi energy (states/eV/atom): 1.73
Energy of formation from the pure elements (meV per atom): 1805
E above lowest polymorph (meV/atom): 1495
Total magnetization (μB per cell): 4.42


The following is a DFT calculation (GGA-PBE) of an optimized crystal structure of NaInGe3.

Unit cell a=5.3607 b=5.3607 c=5.3607 alpha=90.00 beta=90.00 gamma=90.00
Last column: nearest neighbours and their distance in Å.
Space group Pm-3m (No. 221)
Unique sites:
Na1 0.0000 0.0000 0.0000 [1 per cell]  12 Ge 3.79
In1 0.5000 0.5000 0.5000 [1 per cell]  6 Ge 2.68
Ge1 0.0000 0.5000 0.5000 [3 per cell]  2 In 2.68

## Properties
DOS at the Fermi energy (states/eV/atom): 0.68
Energy of formation from the pure elements (meV per atom): 616
E above lowest polymorph (meV/atom): 0
Total magnetization (μB per cell): 0.00


The following is a DFT calculation (GGA-PBE) of an optimized crystal structure of CaSiH.

Unit cell a=3.8859 b=3.8859 c=23.8421 alpha=90.00 beta=90.00 gamma=120.00
Last column: nearest neighbours and their distance in Å.
Space group R-3m (No. 166, hexagonal axes)
Unique sites:
Ca1 0.0000 0.0000 0.1021 [6 per cell]  4 H 2.32-2.37
Si1 0.0000 0.0000 0.3502 [6 per cell]  3 Si 2.38
H1 0.0000 0.0000 0.1995 [6 per cell]  4 Ca 2.32-2.37

## Properties
DOS at the Fermi energy (states/eV/atom): 0.24
E above lowest polymorph (meV/atom): 5
Total magnetization (μB per cell): 0.00


The following is a DFT calculation (GGA-PBE) of an optimized crystal structure of Mn4In.

Unit cell a=4.9691 b=4.9691 c=4.9691 alpha=90.00 beta=90.00 gamma=90.00
Last column: nearest neighbours and their distance in Å.
Space group Pm-3m (No. 221)
Unique sites:
Mn1 0.0000 0.0000 0.0000 [1 per cell]  12 Mn 3.51
Mn2 0.0000 0.5000 0.5000 [3 per cell]  2 In 2.48
In1 0.5000 0.5000 0.5000 [1 per cell]  6 Mn 2.48

## Properties
DOS at the Fermi energy (states/eV/atom): 1.19
Energy of formation from the pure elements (meV per atom): 1438
E above lowest polymorph (meV/atom): 1164
Total magnetization (μB per cell): 7.36


The following is a DFT calculation (GGA-PBE) of an optimized crystal structure of CePaTc.

Unit cell a=6.7144 b=6.7144 c=6.7144 alpha=90.00 beta=90.00 gamma=90.00
Last column: nearest neighbours and their distance in Å.
Space group F-43m (No. 216)
Unique sites:
Ce1 0.0000 0.0000 0.0000 [4 per cell]  4 Tc 2.91
Pa1 0.0000 0.0000 0.5000 [4 per cell]  4 Tc 2.91
Tc1 0.2500 0.2500 0.7500 [4 per cell]  4 Ce 2.91, 4 Pa 2.91

## Properties
DOS at the Fermi energy (states/eV/atom): 2.74
Energy of formation from the pure elements (meV per atom): 195
E above lowest polymorph (meV/atom): 356
Total magnetization (μB per cell): 4.95


The following is a DFT calculation (GGA-PBE) of an optimized crystal structure of Zn2CuW.

Unit cell a=6.1153 b=6.1153 c=6.1153 alpha=90.00 beta=90.00 gamma=90.00
Last column: nearest neighbours and their distance in Å.
Space group F-43m (No. 216)
Unique sites:
Zn1 0.0000 0.0000 0.0000 [4 per cell]  4 W 2.65, 4 Zn 2.65
Zn2 0.2500 0.2500 0.2500 [4 per cell]  4 Cu 2.65, 4 Zn 2.65
Cu1 0.0000 0.0000 0.5000 [4 per cell]  4 W 2.65, 4 Zn 2.65
W1 0.2500 0.2500 0.7500 [4 per cell]  4 Cu 2.65, 4 Zn 2.65

## Properties
DOS at the Fermi energy (states/eV/atom): 1.17
Energy of formation from the pure elements (meV per atom): 500
E above lowest polymorph (meV/atom): 396
Total magnetization (μB per cell): 5.29


The following is a DFT calculation (GGA-PBE) of an optimized crystal structure of CdHg2F5.

Unit cell a=10.4022 b=7.0514 c=6.4518 alpha=90.00 beta=90.00 gamma=90.00
Last column: nearest neighbours and their distance in Å.
Space group Pnma (No. 62)
Unique sites:
Cd1 0.0031 0.2500 0.0524 [4 per cell]  7 F 2.28-2.52
Hg1 0.1711 0.5005 0.5223 [8 per cell]  8 F 2.52-2.68
F1 0.0048 0.2500 0.4423 [4 per cell]  1 Cd 2.52, 4 Hg 2.53-2.55, 1 F 2.75
F2 0.0998 0.5262 0.1501 [8 per cell]  2 Cd 2.28-2.31, 2 Hg 2.52-2.53
F3 0.1778 0.2500 0.8259 [4 per cell]  1 Cd 2.33
F4 0.2075 0.7500 0.8112 [4 per cell]  1 Cd 2.36, 4 Hg 2.56-2.59

## Properties
Uncorrected formation energy (kcal/mol of atoms): -35.99
DOS at the Fermi energy (states/eV/atom): 0.11
E above lowest polymorph (meV/atom): 7
Total magnetization (μB per cell): 0.00


The following is a DFT calculation (GGA-PBE) of an optimized crystal structure of HfBN.

Unit cell a=3.2962 b=4.0722 c=5.0269 alpha=85.74 beta=74.96 gamma=89.11
Last column: nearest neighbours and their distance in Å.
Space group P1 (No. 1)
Unique sites:
Hf1 0.0000 0.0000 0.0000 [1 per cell]  4 N 2.16-2.40, 1 B 2.33
Hf2 0.2331 0.5275 0.4331 [1 per cell]  4 N 2.18-2.35
B1 0.6548 0.5615 0.8796 [1 per cell]  2 N 1.52-1.54
B2 0.6560 0.9106 0.6398 [1 per cell]  1 N 1.54
N1 0.6177 0.2716 0.7122 [1 per cell]  2 B 1.52-1.54
N2 0.8370 0.4897 0.1298 [1 per cell]  1 B 1.54

## Properties
Uncorrected formation energy (kcal/mol of atoms): -17.86
DOS at the Fermi energy (states/eV/atom): 0.11
E above lowest polymorph (meV/atom): 293
Total magnetization (μB per cell): 0.00


The following is a DFT calculation (GGA-PBE) of an optimized crystal structure of CdInAs2.

Unit cell a=3.9017 b=4.8656 c=9.4904 alpha=90.00 beta=90.00 gamma=90.00
Last column: nearest neighbours and their distance in Å.
Space group Cmmm (No. 65)
Unique sites:
Cd1 0.0000 0.0000 0.0000 [2 per cell]  8 As 2.92-3.26, 4 Cd 3.12
In1 0.0000 0.0000 0.5000 [2 per cell]  4 In 3.12, 4 As 3.23
As1 0.0000 0.5000 0.2284 [4 per cell]  4 Cd 2.92-3.26, 4 As 3.12, 2 In 3.23

## Properties
DOS at the Fermi energy (states/eV/atom): 0.38
Energy of formation from the pure elements (meV per atom): 214
Total magnetization (μB per cell): 0.00


The following is a DFT calculation (GGA-PBE) of an optimized crystal structure of Ce2AlNiS5.

Unit cell a=3.9120 b=16.7055 c=10.9510 alpha=90.00 beta=90.00 gamma=90.00
Last column: nearest neighbours and their distance in Å.
Space group Cmc2_1 (No. 36)
Unique sites:
Ce1 0.0000 0.1165 0.0000 [4 per cell]  7 S 2.85-2.94, 2 Ni 2.94
Ce2 0.0000 0.1202 0.6247 [4 per cell]  8 S 2.91-3.08, 1 Ni 2.92
Al1 0.0000 0.4052 0.7946 [4 per cell]  5 S 2.33-2.44
Ni1 0.0000 0.2552 0.4548 [4 per cell]  4 S 2.23-2.30
S1 0.0000 0.0381 0.3726 [4 per cell]  2 Al 2.34
S2 0.0000 0.3017 0.6525 [4 per cell]  1 Ni 2.30, 1 Al 2.33
S3 0.0000 0.3102 0.9593 [4 per cell]  2 Ni 2.24, 1 Al 2.40
S4 0.0000 0.3532 0.3170 [4 per cell]  1 Ni 2.23
S5 0.0000 0.4906 0.6142 [4 per cell]  1 Al 2.44

## Properties
Uncorrected formation energy (kcal/mol of atoms): -33.60
DOS at the Fermi energy (states/eV/atom): 1.01
Total magnetization (μB per cell): 4.10


The following is a DFT calculation (GGA-PBE) of an optimized crystal structure of KTaNi2.

Unit cell a=2.6604 b=4.9420 c=10.5385 alpha=90.00 beta=90.00 gamma=90.00
Last column: nearest neighbours and their distance in Å.
Space group Imm2 (No. 44)
Unique sites:
K1 0.0000 0.0000 0.0000 [2 per cell]  2 K 2.66, 4 Ni 2.81
Ta1 0.0000 0.5000 0.2018 [2 per cell]  6 Ni 2.65-2.92, 2 Ta 2.66
Ni1 0.0000 0.0000 0.4840 [2 per cell]  4 Ni 2.53-2.66, 2 Ta 2.65, 4 K 2.81
Ni2 0.0000 0.5000 0.7798 [2 per cell]  4 Ni 2.53-2.66

## Properties
DOS at the Fermi energy (states/eV/atom): 0.97
Energy of formation from the pure elements (meV per atom): 717
E above lowest polymorph (meV/atom): 537
Total magnetization (μB per cell): 0.00